Here is an optimized crystal structure of Ta2NbGa2Ir2 from Alexandria. Energies are from GGA-PBE.

Properties
**DFT formation energy**: -0.4013 eV/atom
**Density**: 13.141 g/cm3
**Total magnetic moment**: 0.00 μB per cell
**E_tot**: -60.4 eV per formula unit

Cell and atoms, written as CIF:
```
data_Ta2NbGa2Ir2
_symmetry_space_group_name_H-M 'R -3 m'
_symmetry_Int_Tables_number 166
_symmetry_space_group_name_Hall '-R 3 2"'
_cell_length_a 4.3699
_cell_length_b 4.3699
_cell_length_c 22.4346
_cell_angle_alpha 90.00
_cell_angle_beta 90.00
_cell_angle_gamma 120.00
loop_
_atom_site_label
_atom_site_fract_x
_atom_site_fract_y
_atom_site_fract_z
Ta1 0.0000 0.0000 0.1248
Nb1 0.0000 0.0000 0.0000
Ga1 0.0000 0.0000 0.3881
Ir1 0.0000 0.0000 0.2421
```